Density functional theory data (PBE+U) for Rb4CaMn3F12 after structural relaxation.

Values from the calculation:
Space-group type: Im-3m, No. 229
Calculated total energy, eV per atom: -5.480
Spin magnetization, μB/f.u.: 15.00

Cell: 7.5499 7.5499 7.5499 Å, 109.47 109.47 109.47°
Last column: nearest neighbours and their distance in Å.
Fractional positions:
F 0.7428 0.7428 0.0000  1 Mn 2.12, 1 Ca 2.24
F 0.2500 0.5000 0.7500  2 Mn 2.18
F 0.7500 0.2500 0.5000  2 Mn 2.18
F 0.5000 0.7500 0.2500  2 Mn 2.18
F 0.2572 0.0000 0.2572  1 Mn 2.12, 1 Ca 2.24
F 0.2572 0.2572 0.0000  1 Mn 2.12, 1 Ca 2.24
F 0.7500 0.5000 0.2500  2 Mn 2.18
F 0.5000 0.2500 0.7500  2 Mn 2.18
F 0.0000 0.7428 0.7428  1 Mn 2.12, 1 Ca 2.24
F 0.2500 0.7500 0.5000  2 Mn 2.18
F 0.7428 0.0000 0.7428  1 Mn 2.12, 1 Ca 2.24
F 0.0000 0.2572 0.2572  1 Mn 2.12, 1 Ca 2.24
Mn 0.0000 0.5000 0.5000  6 F 2.12-2.18
Mn 0.5000 0.5000 0.0000  6 F 2.12-2.18
Mn 0.5000 0.0000 0.5000  6 F 2.12-2.18
Ca 0.0000 0.0000 0.0000  6 F 2.24
Rb 0.5000 0.0000 0.0000  12 F 3.08
Rb 0.0000 0.5000 0.0000  12 F 3.08
Rb 0.5000 0.5000 0.5000  12 F 3.08
Rb 0.0000 0.0000 0.5000  12 F 3.08